Model A:
First-principles (PBE) data for crystalline YCuRu2C at its relaxed geometry, as listed in the Alexandria database.

Cell: 4.180 4.180 4.060 Å, 90.00 90.00 90.00°
Element x y z (fractional)
Y 0.000 0.000 0.000
Cu 0.500 0.500 0.000
Ru 0.000 0.500 0.500
Ru 0.500 0.000 0.500
C 0.500 0.500 0.500

Summary:
Symmetry: P4/mmm
M_tot, μB per cell: 0.00

Model B:
First-principles (PBE) data for crystalline YCuRu2C at its relaxed geometry, as listed in the Alexandria database.

Cell: 4.785 4.785 3.549 Å, 90.00 90.00 90.00°
Element x y z (fractional)
Y 0.000 0.000 0.000
Cu 0.500 0.500 0.500
Ru 0.000 0.500 0.500
Ru 0.500 0.000 0.500
C 0.500 0.500 0.000

Summary:
Symmetry: P4/mmm
M_tot, μB per cell: 1.39

Which structure loses on stability? model B does.

Model A:
First-principles (PBE) data for crystalline CuCS3 at its relaxed geometry, as listed in the Alexandria database.

Cell: 4.470 4.470 4.470 Å, 90.00 90.00 90.00°
Element x y z (fractional)
Cu 0.000 0.000 0.000
C 0.500 0.500 0.500
S 0.000 0.000 0.500
S 0.000 0.500 0.000
S 0.500 0.000 0.000

Summary:
Symmetry: Pm-3m
M_tot, μB per cell: 0.02

Model B:
First-principles (PBE) data for crystalline CuCS3 at its relaxed geometry, as listed in the Alexandria database.

Cell: 4.115 4.115 4.115 Å, 90.00 90.00 90.00°
Element x y z (fractional)
Cu 0.000 0.000 0.000
C 0.500 0.500 0.500
S 0.000 0.500 0.500
S 0.500 0.000 0.500
S 0.500 0.500 0.000

Summary:
Symmetry: Pm-3m
M_tot, μB per cell: 0.00

Which structure loses on stability? model A does.